Entry 1:
A plane-wave DFT calculation with PBE was carried out for a relaxed structure of ZnCd3Hg4.

Cell lengths 3.1377, 9.6665, 7.2679 Å; angles 109.07, 77.53, 80.66 degrees
Fractional positions:
Zn (0.6794, 0.4954, 0.1459)
Hg (0.9976, 0.2451, 0.7598)
Hg (0.2404, 0.2754, 0.2438)
Hg (0.3614, 0.7513, 0.5259)
Hg (0.1179, 0.7174, 0.0468)
Cd (0.0345, 0.9974, 0.9335)
Cd (0.3236, 0.9978, 0.3550)
Cd (0.9119, 0.5202, 0.6560)

## Properties
**Space-group type**: Cm (8)
**Formation energy from the elements**: 0.06 eV per atom


Entry 2:
A plane-wave DFT calculation with PBE was carried out for a relaxed structure of Sm5PaRh4.

Cell lengths 4.4589, 7.2355, 8.6473 Å; angles 106.49, 104.94, 90.00 degrees
Fractional positions:
Sm (0.1696, 0.0574, 0.3393)
Sm (0.1714, 0.5598, 0.3428)
Sm (0.8286, 0.4402, 0.6572)
Sm (0.5000, 0.5000, 0.0000)
Sm (0.8304, 0.9426, 0.6607)
Pa (0.5000, 0.0000, 0.0000)
Rh (0.6433, 0.2889, 0.2866)
Rh (0.9958, 0.7832, 0.9915)
Rh (0.3567, 0.7111, 0.7134)
Rh (0.0042, 0.2168, 0.0085)

## Properties
**Space-group type**: C2/m (12)
**Formation energy from the elements**: -0.63 eV per atom


Entry 3:
A plane-wave DFT calculation with PBE was carried out for a relaxed structure of Mo2As.

Cell lengths 5.1458, 5.1458, 5.1458 Å; angles 144.34, 144.34, 51.32 degrees
Fractional positions:
Mo (0.1605, 0.1605, 0.0000)
Mo (0.8395, 0.8395, 0.0000)
As (0.5000, 0.5000, 0.0000)

## Properties
**Space-group type**: I4/mmm (139)
**Formation energy from the elements**: 0.07 eV per atom
**Energy above the lowest structure with this stoichiometry**: 2.35 kcal/mol of atoms